Entry 1:
## Cr2HgCl (PBE-GGA)

Data for a relaxed structure of Cr2HgCl.

Summary:
Its formation energy from raw total energies is 1.1 eV per formula unit. As for the total energy: -0.187 Ha/atom. The calculation puts the energy above the most stable polymorph in this dataset at 178.8 meV per atom.

a = 3.6154 Å, b = 3.2431 Å, c = 7.1333 Å
α = 90.00°, β = 90.16°, γ = 90.00°
Space group P2/m (No. 10)
Unique sites:
1 Cr 0.0013 0.0000 0.2187 x2
2 Hg 0.5000 0.5000 0.0000 x1
3 Cl 0.0000 0.5000 0.5000 x1

=====

Entry 2:
## CrHgCl2 (PBE-GGA)

Data for a relaxed structure of CrHgCl2.

Summary:
Its formation energy from raw total energies is -0.3 eV per formula unit. As for the total energy: -0.128 Ha/atom. The calculation puts the energy above the most stable polymorph in this dataset at 593.5 meV per atom.

a = 4.4343 Å, b = 4.3991 Å, c = 5.3302 Å
α = 90.00°, β = 90.26°, γ = 90.00°
Space group P2/m (No. 10)
Unique sites:
1 Cr 0.0000 0.0000 0.0000 x1
2 Hg 0.5000 0.5000 0.5000 x1
3 Cl 0.0000 0.0000 0.5000 x1
4 Cl 0.5000 0.5000 0.0000 x1

=====

Entry 3:
## CrHgCl2 (PBE-GGA)

Data for a relaxed structure of CrHgCl2.

Summary:
Its formation energy from raw total energies is -1.7 eV per formula unit. As for the total energy: -0.141 Ha/atom. The calculation puts the energy above the most stable polymorph in this dataset at 260.9 meV per atom.

a = 3.7094 Å, b = 3.7094 Å, c = 24.5398 Å
α = 90.00°, β = 90.00°, γ = 120.00°
Space group R3m (No. 160, hexagonal axes)
Unique sites:
1 Cr 0.0000 0.0000 0.0000 x3
2 Hg 0.0000 0.0000 0.7445 x3
3 Cl 0.0000 0.0000 0.2820 x3
4 Cl 0.0000 0.0000 0.4812 x3

=====

Entry 4:
## CrHgCl2 (PBE-GGA)

Data for a relaxed structure of CrHgCl2.

Summary:
Its formation energy from raw total energies is -2.6 eV per formula unit. As for the total energy: -0.149 Ha/atom. The calculation puts the energy above the most stable polymorph in this dataset at 34.0 meV per atom.

a = 3.4357 Å, b = 7.1651 Å, c = 10.5743 Å
α = 90.00°, β = 90.00°, γ = 90.00°
Space group Cmmm (No. 65)
Unique sites:
1 Cr 0.0000 0.0000 0.0000 x2
2 Hg 0.0000 0.0000 0.5000 x2
3 Cl 0.0000 0.5000 0.1522 x4

=====

It is found that the density values, taken in the order of the records, are 6.75; 5.17; 5.51; 4.13 g/cm3.